# Cd14AgSn, relaxed, DFT GGA-PBE
# DFT total energy (eV per atom): -1.204
# D(E_F) (states/eV/f.u.): 6.1
# ΔH_f (0 K) (meV per atom): 25
data_Cd14AgSn
_chemical_formula_sum 'Cd28 Ag2 Sn2'
_cell_length_a 10.2242
_cell_length_b 6.8535
_cell_length_c 10.4104
_cell_angle_alpha 90.00
_cell_angle_beta 90.00
_cell_angle_gamma 90.00
_space_group_name_H-M_alt 'A m m 2'
_space_group_IT_number 38
loop_
_space_group_symop_operation_xyz
'x,y,z'
'-x,-y,z'
'-x,y,z'
'x,-y,z'
'x,y+1/2,z+1/2'
'-x,-y+1/2,z+1/2'
'-x,y+1/2,z+1/2'
'x,-y+1/2,z+1/2'
loop_
_atom_site_label
_atom_site_fract_x
_atom_site_fract_y
_atom_site_fract_z
_atom_site_occupancy
Cd1 0.0000 0.0000 0.0000 1
Cd2 0.0000 0.0000 0.4917 1
Cd3 0.0000 0.2377 0.7474 1
Cd4 0.2382 0.0000 0.1643 1
Cd5 0.2503 0.2319 0.9052 1
Cd6 0.2566 0.0000 0.6483 1
Cd7 0.5000 0.2483 0.0623 1
Ag1 0.5000 0.0000 0.8088 1
Sn1 0.5000 0.0000 0.3106 1

# Cd7Ag4Sn, relaxed, DFT GGA-PBE
# DFT total energy (eV per atom): -1.692
# D(E_F) (states/eV/f.u.): 5.0
# ΔH_f (0 K) (meV per atom): 126
data_Cd7Ag4Sn
_chemical_formula_sum 'Cd14 Ag8 Sn2'
_cell_length_a 12.4249
_cell_length_b 5.2881
_cell_length_c 10.3688
_cell_angle_alpha 90.00
_cell_angle_beta 125.06
_cell_angle_gamma 90.00
_space_group_name_H-M_alt 'C 1 2/m 1'
_space_group_IT_number 12
loop_
_space_group_symop_operation_xyz
'x,y,z'
'-x,-y,-z'
'-x,y,-z'
'x,-y,z'
'x+1/2,y+1/2,z'
'-x+1/2,-y+1/2,-z'
'-x+1/2,y+1/2,-z'
'x+1/2,-y+1/2,z'
loop_
_atom_site_label
_atom_site_fract_x
_atom_site_fract_y
_atom_site_fract_z
_atom_site_occupancy
Cd1 0.0000 0.0000 0.0000 1
Cd2 0.0704 0.5000 0.3503 1
Cd3 0.1508 0.0000 0.5741 1
Cd4 0.2139 0.5000 0.8849 1
Ag1 0.0718 0.0000 0.7768 1
Ag2 0.2063 0.0000 0.3329 1
Sn1 0.0000 0.5000 0.0000 1

# CdAg7Sn2, relaxed, DFT GGA-PBE
# DFT total energy (eV per atom): -2.699
# D(E_F) (states/eV/f.u.): 3.4
# ΔH_f (0 K) (meV per atom): 189
data_CdAg7Sn2
_chemical_formula_sum 'Cd2 Ag14 Sn4'
_cell_length_a 7.6322
_cell_length_b 14.2680
_cell_length_c 4.5126
_cell_angle_alpha 90.00
_cell_angle_beta 90.00
_cell_angle_gamma 90.00
_space_group_name_H-M_alt 'C m m m'
_space_group_IT_number 65
_space_group_name_Hall '-C 2 2'
loop_
_atom_site_label
_atom_site_fract_x
_atom_site_fract_y
_atom_site_fract_z
_atom_site_occupancy
Cd1 0.0000 0.0000 0.0000 1
Ag1 0.0000 0.1973 0.0000 1
Ag2 0.0000 0.5000 0.5000 1
Ag3 0.1811 0.1022 0.5000 1
Sn1 0.0000 0.3037 0.5000 1

# CdAgSn2, relaxed, DFT GGA-PBE
# DFT total energy (eV per atom): -2.871
# D(E_F) (states/eV/f.u.): 2.1
# ΔH_f (0 K) (meV per atom): 72
data_CdAgSn2
_chemical_formula_sum 'Cd3 Ag3 Sn6'
_cell_length_a 4.6551
_cell_length_b 4.6551
_cell_length_c 16.6905
_cell_angle_alpha 90.00
_cell_angle_beta 90.00
_cell_angle_gamma 120.00
_space_group_name_H-M_alt 'R 3 m'
_space_group_IT_number 160
_space_group_name_Hall 'R 3 -2"'
loop_
_atom_site_label
_atom_site_fract_x
_atom_site_fract_y
_atom_site_fract_z
_atom_site_occupancy
Cd1 0.0000 0.0000 0.0000 1
Ag1 0.0000 0.0000 0.1758 1
Sn1 0.0000 0.0000 0.5779 1
Sn2 0.0000 0.0000 0.7744 1

# Cd2AgSn2, relaxed, DFT GGA-PBE
# Polymorph energy (0 for the lowest one) (eV/atom): 0.0618
# DFT total energy (eV per atom): -2.410
# D(E_F) (states/eV/f.u.): 2.0
# ΔH_f (0 K) (meV per atom): 127
data_Cd2AgSn2
_chemical_formula_sum 'Cd4 Ag2 Sn4'
_cell_length_a 7.4554
_cell_length_b 7.4554
_cell_length_c 4.4678
_cell_angle_alpha 90.00
_cell_angle_beta 90.00
_cell_angle_gamma 90.00
_space_group_name_H-M_alt 'P 4/m b m'
_space_group_IT_number 127
_space_group_name_Hall '-P 4 2ab'
loop_
_atom_site_label
_atom_site_fract_x
_atom_site_fract_y
_atom_site_fract_z
_atom_site_occupancy
Cd1 0.1414 0.3586 0.0000 1
Ag1 0.0000 0.0000 0.0000 1
Sn1 0.1662 0.6662 0.5000 1

# Cd2AgSn2, relaxed, DFT GGA-PBE
# Polymorph energy (0 for the lowest one) (eV/atom): 0.1460
# DFT total energy (eV per atom): -2.326
# D(E_F) (states/eV/f.u.): 2.3
# ΔH_f (0 K) (meV per atom): 211
data_Cd2AgSn2
_chemical_formula_sum 'Cd4 Ag2 Sn4'
_cell_length_a 4.0350
_cell_length_b 4.0350
_cell_length_c 15.9947
_cell_angle_alpha 90.00
_cell_angle_beta 90.00
_cell_angle_gamma 90.00
_space_group_name_H-M_alt 'I 4/m m m'
_space_group_IT_number 139
_space_group_name_Hall '-I 4 2'
loop_
_atom_site_label
_atom_site_fract_x
_atom_site_fract_y
_atom_site_fract_z
_atom_site_occupancy
Cd1 0.0000 0.5000 0.2500 1
Ag1 0.0000 0.0000 0.0000 1
Sn1 0.0000 0.0000 0.4048 1

# Cd8Ag5Sn, relaxed, DFT GGA-PBE
# DFT total energy (eV per atom): -1.778
# D(E_F) (states/eV/f.u.): 4.9
# ΔH_f (0 K) (meV per atom): 49
data_Cd8Ag5Sn
_chemical_formula_sum 'Cd16 Ag10 Sn2'
_cell_length_a 8.1720
_cell_length_b 8.1720
_cell_length_c 9.2043
_cell_angle_alpha 90.00
_cell_angle_beta 90.00
_cell_angle_gamma 90.00
_space_group_name_H-M_alt 'I -4'
_space_group_IT_number 82
loop_
_space_group_symop_operation_xyz
'x,y,z'
'y,-x,-z'
'-x,-y,z'
'-y,x,-z'
'x+1/2,y+1/2,z+1/2'
'y+1/2,-x+1/2,-z+1/2'
'-x+1/2,-y+1/2,z+1/2'
'-y+1/2,x+1/2,-z+1/2'
loop_
_atom_site_label
_atom_site_fract_x
_atom_site_fract_y
_atom_site_fract_z
_atom_site_occupancy
Cd1 0.0691 0.3316 0.0833 1
Cd2 0.1094 0.1594 0.7462 1
Ag1 0.0000 0.0000 0.0000 1
Ag2 0.1168 0.2073 0.4309 1
Sn1 0.0000 0.5000 0.7500 1

# Cd2Ag7Sn2, relaxed, DFT GGA-PBE
# Polymorph energy (0 for the lowest one) (eV/atom): 0.0000
# DFT total energy (eV per atom): -2.689
# D(E_F) (states/eV/f.u.): 3.3
# ΔH_f (0 K) (meV per atom): 19
data_Cd2Ag7Sn2
_chemical_formula_sum 'Cd4 Ag14 Sn4'
_cell_length_a 4.1625
_cell_length_b 12.8439
_cell_length_c 8.4643
_cell_angle_alpha 90.00
_cell_angle_beta 90.00
_cell_angle_gamma 90.00
_space_group_name_H-M_alt 'I m m 2'
_space_group_IT_number 44
loop_
_space_group_symop_operation_xyz
'x,y,z'
'-x,-y,z'
'-x,y,z'
'x,-y,z'
'x+1/2,y+1/2,z+1/2'
'-x+1/2,-y+1/2,z+1/2'
'-x+1/2,y+1/2,z+1/2'
'x+1/2,-y+1/2,z+1/2'
loop_
_atom_site_label
_atom_site_fract_x
_atom_site_fract_y
_atom_site_fract_z
_atom_site_occupancy
Cd1 0.0000 0.0000 0.0000 1
Cd2 0.0000 0.5000 0.2414 1
Ag1 0.0000 0.0000 0.4958 1
Ag2 0.0000 0.1701 0.7470 1
Ag3 0.0000 0.3352 0.0020 1
Ag4 0.0000 0.3361 0.4977 1
Sn1 0.0000 0.1612 0.2564 1

# Cd2Ag2Sn, relaxed, DFT GGA-PBE
# Polymorph energy (0 for the lowest one) (eV/atom): 0.0000
# DFT total energy (eV per atom): -2.294
# D(E_F) (states/eV/f.u.): 1.3
# ΔH_f (0 K) (meV per atom): 13
data_Cd2Ag2Sn
_chemical_formula_sum 'Cd4 Ag4 Sn2'
_cell_length_a 5.2497
_cell_length_b 5.9907
_cell_length_c 8.1226
_cell_angle_alpha 68.37
_cell_angle_beta 71.19
_cell_angle_gamma 64.92
_space_group_name_H-M_alt 'P -1'
_space_group_IT_number 2
loop_
_space_group_symop_operation_xyz
'x,y,z'
'-x,-y,-z'
loop_
_atom_site_label
_atom_site_fract_x
_atom_site_fract_y
_atom_site_fract_z
_atom_site_occupancy
Cd1 0.0241 0.2545 0.3543 1
Cd2 0.1863 0.7351 0.2585 1
Ag1 0.2250 0.2725 0.9429 1
Ag2 0.4268 0.2557 0.5513 1
Sn1 0.3525 0.7899 0.8471 1

# Cd6AgSn, relaxed, DFT GGA-PBE
# Polymorph energy (0 for the lowest one) (eV/atom): 0.0000
# DFT total energy (eV per atom): -1.528
# D(E_F) (states/eV/f.u.): 2.4
# ΔH_f (0 K) (meV per atom): 15
data_Cd6AgSn
_chemical_formula_sum 'Cd12 Ag2 Sn2'
_cell_length_a 9.9868
_cell_length_b 4.4243
_cell_length_c 9.1379
_cell_angle_alpha 90.00
_cell_angle_beta 115.36
_cell_angle_gamma 90.00
_space_group_name_H-M_alt 'C 1 2/m 1'
_space_group_IT_number 12
loop_
_space_group_symop_operation_xyz
'x,y,z'
'-x,-y,-z'
'-x,y,-z'
'x,-y,z'
'x+1/2,y+1/2,z'
'-x+1/2,-y+1/2,-z'
'-x+1/2,y+1/2,-z'
'x+1/2,-y+1/2,z'
loop_
_atom_site_label
_atom_site_fract_x
_atom_site_fract_y
_atom_site_fract_z
_atom_site_occupancy
Cd1 0.0037 0.0000 0.2350 1
Cd2 0.2457 0.5000 0.3607 1
Cd3 0.2504 0.0000 0.1154 1
Ag1 0.0000 0.5000 0.0000 1
Sn1 0.0000 0.5000 0.5000 1